(1)
Mo3PbS | PBE | relaxed

Results
E above lowest polymorph ... 0.000 eV per atom
E_form (uncorrected) ... 521 meV/atom
SG ... Pm-3m
Energy ... -37.72 eV/f.u.
Magnetic moment ... 0.0 μB per cell

Structure (extended XYZ):
```
5
Lattice="-2.1941 -2.8450 -2.7033 3.1426 0.5815 -3.1626 2.3508 -3.4328 1.7047" Properties=species:S:1:pos:R:3 pbc="T T T"
Pb 1.6496 -2.8481 -2.0806
Mo 1.5713 0.2908 -1.5813
Mo 1.1754 -1.7164 0.8524
Mo -1.0971 -1.4225 -1.3517
S 0.0000 0.0000 0.0000
```


(2)
NaSrCa2Pd | PBE | relaxed

Results
E above lowest polymorph ... 0.112 eV per atom
Formation enthalpy at 0 K ... -0.18 eV/atom
SG ... P4/mmm
Energy ... -13.08 eV/f.u.
Magnetic moment ... 0.0 μB per cell

Structure (extended XYZ):
```
5
Lattice="5.6264 0.0000 0.0000 0.0000 5.6264 0.0000 0.0000 0.0000 5.9099" Properties=species:S:1:pos:R:3 pbc="T T T"
Sr 2.8132 2.8132 2.9550
Ca 0.0000 2.8132 0.0000
Ca 2.8132 0.0000 0.0000
Pd 0.0000 0.0000 0.0000
Na 0.0000 0.0000 2.9550
```


(3)
LaAg2Pb | PBE | relaxed

Results
Formation enthalpy at 0 K ... -0.03 eV/atom
SG ... C2/m
Energy ... -14.44 eV/f.u.
Magnetic moment ... 0.2 μB per cell

Structure (extended XYZ):
```
4
Lattice="-1.0299 -1.2639 -5.8639 2.4531 -4.6194 3.1122 -2.5418 -2.1083 0.1981" Properties=species:S:1:pos:R:3 pbc="T T T"
Pb -0.0443 -3.3639 1.6552
Ag 0.0000 0.0000 0.0000
Ag 0.7116 -2.9417 -1.3758
La -1.7858 -1.6861 -2.8329
```


(4)
Tb3Pm4 | PBE | relaxed

Results
E above lowest polymorph ... 0.000 eV per atom
Formation enthalpy at 0 K ... 0.01 eV/atom
SG ... C2/m
Energy ... -32.80 eV/f.u.
Magnetic moment ... 0.0 μB per cell

Structure (extended XYZ):
```
7
Lattice="4.8460 0.0000 -1.6092 -0.5047 7.9255 -1.5199 -0.6283 0.3321 6.2090" Properties=species:S:1:pos:R:3 pbc="T T T"
Tb 0.0000 0.0000 0.0000
Tb 2.3180 5.7073 -1.1209
Tb 1.3950 2.5503 4.2008
Pm 3.4173 4.7752 2.1895
Pm 0.2957 3.4823 0.8905
Pm 3.1205 1.2667 1.2957
Pm 0.5925 6.9908 1.7842
```


Question: Number 3 is which compound?
Answer: LaAg2Pb